This record from Alexandria via LeMat-Bulk describes a geometry-optimized LaTmO structure. The functional is GGA-PBE.

```
LaTmO
1.0
3.563 0.000 0.000
-1.782 3.086 0.000
0.000 0.000 6.156
La Tm O
1 1 1
Direct
0.000 0.000 0.000
0.333 0.667 0.458
0.667 0.333 0.291
```

Computed properties:
The raw total energy comes out at -6.55 eV per atom. The calculation puts the density of states at the Fermi level at 0.450 states/eV/atom. As for the formation energy (no corrections): -5.3 eV/f.u. Its space group is No. 156. As for the volume: 22.57 Å³ per atom.